[1]
{"formula": "KAsPt2", "functional": "PBE", "state": "relaxed", "lattice": [[-2.462, 2.043, -2.866], [-3.059, -4.924, -0.883], [-10.172, 4.213, 11.742]], "species": ["As", "As", "As", "As", "Pt", "Pt", "Pt", "Pt", "Pt", "Pt", "Pt", "Pt", "K", "K", "K", "K"], "fractional_positions": [[0.750, 0.749, 0.880], [0.750, 0.249, 0.620], [0.250, 0.751, 0.380], [0.250, 0.251, 0.120], [0.750, 0.751, 0.303], [0.250, 0.501, 0.250], [0.250, 0.749, 0.803], [0.750, 0.499, 0.750], [0.750, 0.999, 0.750], [0.250, 0.001, 0.250], [0.250, 0.249, 0.697], [0.750, 0.251, 0.197], [0.750, 0.751, 0.096], [0.250, 0.249, 0.904], [0.250, 0.749, 0.596], [0.750, 0.251, 0.404]], "m_tot_mub_per_cell": 0.000, "vol_a3_per_cell": 405.5, "ef_ev_per_fu": -1.6}

---

[2]
{"formula": "SmTiSi2Os", "functional": "PBE", "state": "relaxed", "lattice": [[-1.988, -3.502, 0.143], [2.847, -1.709, -2.283], [2.325, 1.224, 5.539]], "species": ["Os", "Si", "Si", "Sm", "Ti"], "fractional_positions": [[0.750, 0.250, 0.500], [0.613, 0.613, 0.226], [0.387, 0.387, 0.774], [0.000, 0.000, 0.000], [0.250, 0.750, 0.500]], "m_tot_mub_per_cell": 0.000, "vol_a3_per_cell": 88.2, "formation_energy_uncorrected_ev_per_atom": -0.78}

---

[3]
{"formula": "SmB3N3", "functional": "PBE", "state": "relaxed", "lattice": [[4.844, 0.000, 0.000], [0.000, 4.844, 0.000], [0.000, 0.000, 4.844]], "species": ["N", "N", "N", "N", "N", "N", "Sm", "Sm", "B", "B", "B", "B", "B", "B"], "fractional_positions": [[0.000, 0.750, 0.500], [0.250, 0.500, 0.000], [0.500, 0.000, 0.250], [0.000, 0.250, 0.500], [0.750, 0.500, 0.000], [0.500, 0.000, 0.750], [0.500, 0.500, 0.500], [0.000, 0.000, 0.000], [0.000, 0.500, 0.750], [0.500, 0.750, 0.000], [0.000, 0.500, 0.250], [0.750, 0.000, 0.500], [0.500, 0.250, 0.000], [0.250, 0.000, 0.500]], "m_tot_mub_per_cell": 0.000, "vol_a3_per_cell": 113.6, "formation_energy_uncorrected_ev_per_atom": 0.23}

---

[4]
{"formula": "NaCa3Pt", "functional": "PBE", "state": "relaxed", "lattice": [[4.599, 0.000, 0.000], [0.000, 4.599, 0.000], [0.000, 0.000, 9.660]], "species": ["Ca", "Ca", "Ca", "Pt", "Na"], "fractional_positions": [[0.000, 0.000, 0.711], [0.000, 0.500, 0.423], [0.500, 0.000, 0.423], [0.500, 0.500, 0.604], [0.000, 0.000, 0.103]], "m_tot_mub_per_cell": 0.000, "vol_a3_per_cell": 204.3, "ef_ev_per_fu": -0.7, "e_above_lowest_polymorph_mev_per_atom": 325}

---

[5]
{"formula": "K2AlRe", "functional": "PBE", "state": "relaxed", "lattice": [[-4.128, 1.173, -2.987], [-4.655, -2.157, 1.009], [-3.876, 2.930, 1.931]], "species": ["Al", "Re", "K", "K"], "fractional_positions": [[0.500, 0.500, 0.500], [0.750, 0.750, 0.750], [0.000, 0.000, 0.000], [0.250, 0.250, 0.250]], "m_tot_mub_per_cell": 2.232, "vol_a3_per_cell": 101.1, "ef_ev_per_fu": 5.5}

---

[6]
{"formula": "Mg2ZrBe", "functional": "PBE", "state": "relaxed", "lattice": [[5.424, 0.001, 0.000], [2.366, 4.880, 0.000], [-3.895, -2.441, 2.879]], "species": ["Mg", "Mg", "Be", "Zr"], "fractional_positions": [[0.500, 0.500, 0.000], [0.000, 0.000, 0.000], [0.750, 0.250, 0.500], [0.250, 0.750, 0.500]], "m_tot_mub_per_cell": 0.001, "vol_a3_per_cell": 76.2, "ef_ev_per_fu": 1.4}

---

no.,DOS(E_F) (states/eV/f.u.)
1,1.7
2,2.0
3,2.4
4,5.5
5,4.9
6,4.6